! PBE-GGA Be2PbSe, optimized geometry; values from VASP
! Magnetic moment = 0.0 Bohr magnetons per cell
! Fermi-level density of states = 1.48 states/eV/cell
! Formation energy (no corrections) = 0.48 eV per atom
! SG = P4/mmm
! E above lowest polymorph = 2.43 eV per formula unit
! Total energy = -0.117 Ha/atom
! Calculated volume = 17.837 A^3/atom
&SYSTEM
  ibrav = 0, nat = 4, ntyp = 3
/
ATOMIC_SPECIES
Pb 207.20 Pb.upf
Be 9.01 Be.upf
Se 78.96 Se.upf
ATOMIC_POSITIONS angstrom
Pb -2.321 -1.013 -1.311
Be -4.263 -3.684 2.497
Be -2.708 -2.340 1.586
Se -4.645 -3.021 0.050
CELL_PARAMETERS angstrom
-2.353 1.838 -1.306
0.036 -1.856 -2.678
-4.648 -4.016 2.722